Tl5Sb4Pb4: optimized geometry, PBE-GGA.

Properties
For the total magnetization, the calculation gives 0.0 μB per cell. The uncorrected formation energy is 0.007 eV/atom. Its space-group type is No. 87. The density of states at the Fermi level is 5.2 states/eV/cell.

a = 5.288 Å, b = 9.296 Å, c = 9.296 Å
α = 85.36°, β = 73.48°, γ = 73.48°
Fractional coordinates of all 13 atoms:
Pb  0.100  0.498  0.302
Pb  0.598  0.302  0.502
Pb  0.900  0.502  0.698
Pb  0.402  0.698  0.498
Tl  0.000  0.000  0.000
Tl  0.314  0.085  0.288
Tl  0.686  0.915  0.712
Tl  0.398  0.288  0.915
Tl  0.602  0.712  0.085
Sb  0.751  0.343  0.155
Sb  0.906  0.845  0.343
Sb  0.249  0.657  0.845
Sb  0.094  0.155  0.657